Run A
Entry from the Alexandria database: P2IrCl at its PBEsol-relaxed geometry (meta-GGA SCAN).

The structure belongs to space group P4/mmm (No. 123); the cell edges are 4.544, 4.544 and 2.775 Å and the angles 90.00°, 90.00° and 90.00°. The distinct sites, in fractional coordinates, are P at (0.000, 0.500, 0.000), Ir at (0.000, 0.000, 0.500) and Cl at (0.500, 0.500, 0.500).


Run B
Entry from the Alexandria database: P2IrCl at its PBEsol-relaxed geometry (meta-GGA SCAN).

The structure belongs to space group C2/m (No. 12); the cell edges are 6.745, 3.544 and 6.965 Å and the angles 90.00°, 109.29° and 90.00°. The distinct sites, in fractional coordinates, are P at (0.133, 0.000, 0.352), Ir at (0.000, 0.500, 0.500) and Cl at (0.000, 0.000, 0.000).


Run C
Entry from the Alexandria database: P2IrCl at its PBEsol-relaxed geometry (meta-GGA SCAN).

The structure belongs to space group Pmmm (No. 47); the cell edges are 2.693, 3.391 and 7.558 Å and the angles 90.00°, 90.00° and 90.00°. The distinct sites, in fractional coordinates, are P at (0.000, 0.000, 0.174), Ir at (0.500, 0.500, 0.000) and Cl at (0.500, 0.500, 0.500).


Tell me which of them is the least stable. Sure, it is run A.